# 1
Density functional theory data (PBE-GGA) for crystalline Ce8YSn6 at its relaxed geometry.

Cell: 9.3662 9.3662 8.4450 Å, 56.32 56.32 60.00°
Site moments in Bohr magnetons follow the coordinates.
Fractional coordinates of all 15 atoms:
Ce  0.5580  0.2452  0.2921  0.89
Ce  0.0953  0.4420  0.7079  0.89
Ce  0.2452  0.9047  0.2921  0.89
Ce  0.6653  0.6653  0.0042  1.12
Ce  0.7548  0.0953  0.7079  0.89
Ce  0.4420  0.7548  0.7079  0.89
Ce  0.9047  0.5580  0.2921  0.89
Ce  0.3347  0.3347  0.9958  1.12
Sn  0.7454  0.3921  0.7923  -0.04
Sn  0.6079  0.9298  0.2077  -0.04
Sn  0.2546  0.6079  0.2077  -0.04
Sn  0.9298  0.2546  0.2077  -0.04
Sn  0.3921  0.0702  0.7923  -0.04
Sn  0.0702  0.7454  0.7923  -0.04
Y  0.0000  0.0000  0.0000  0.14

Values from the calculation:
The calculation puts the formation energy at -0.38 eV per atom. The space group is No. 148. The value obtained for the raw total energy is -5.581 eV per atom.



# 2
Density functional theory data (PBE-GGA) for crystalline Tb6Dy3Er2 at its relaxed geometry.

Cell: 4.7023 4.7023 16.8593 Å, 98.02 98.02 90.00°
Fractional coordinates of all 11 atoms:
Dy  0.0000  0.0000  0.0000
Dy  0.8004  0.8004  0.6008
Dy  0.1996  0.1996  0.3992
Tb  0.3030  0.3030  0.6060
Tb  0.1207  0.6207  0.2414
Tb  0.3793  0.8793  0.7587
Tb  0.8793  0.3793  0.7587
Tb  0.6207  0.1207  0.2414
Tb  0.6970  0.6970  0.3940
Er  0.5458  0.5458  0.0916
Er  0.4542  0.4542  0.9084

Values from the calculation:
The calculation puts the formation energy at 0.29 eV per atom. The value obtained for the energy above the most stable polymorph in this dataset is 273.2 meV/atom. The space group is No. 139. The value obtained for the raw total energy is -4.320 eV per atom.



# 3
Density functional theory data (PBE-GGA) for crystalline Y2ZrCl at its relaxed geometry.

Cell: 3.4168 5.2669 5.8768 Å, 90.00 90.00 90.00°
Fractional coordinates of all 4 atoms:
Zr  0.0000  0.0000  0.3748
Y  0.5000  0.5000  0.3754
Y  0.0000  0.0000  0.8746
Cl  0.5000  0.5000  0.8752

Values from the calculation:
For the uncorrected formation energy, the calculation gives -0.96 eV per formula unit. The value obtained for the energy above the most stable polymorph in this dataset is 378.3 meV/atom. The space group is No. 47. The value obtained for the raw total energy is -6.070 eV per atom.



Q: Look up the raw total energy of the third one.
A: -6.070 eV per atom



Q: Which formula does entry 2 have?
A: Tb6Dy3Er2



Q: Which formula does entry 2 have?
A: Tb6Dy3Er2